# AcPr6Nd2Ho PBE optimized geometry
# **Formation energy**: 0.112 eV/atom
# **V**: 367.4 Å³/f.u.
# **ρ**: 6.897 g/cm3
data_AcPr6Nd2Ho
_chemical_formula_sum 'Ac4 Pr24 Nd8 Ho4'
_space_group_name_H-M_alt 'C 1 2/c 1'
_space_group_IT_number 15
_cell_length_a 9.452
_cell_length_b 15.756
_cell_length_c 9.928
_cell_angle_alpha 90.00
_cell_angle_beta 96.34
_cell_angle_gamma 90.00
loop_
_space_group_symop_operation_xyz
'x,y,z'
'-x,-y,-z'
'-x,y,-z+1/2'
'x,-y,z+1/2'
'x+1/2,y+1/2,z'
'-x+1/2,-y+1/2,-z'
'-x+1/2,y+1/2,-z+1/2'
'x+1/2,-y+1/2,z+1/2'
loop_
_atom_site_label
_atom_site_fract_x
_atom_site_fract_y
_atom_site_fract_z
_atom_site_occupancy
Ac1 0.000 0.023 0.250 1
Pr1 0.061 0.189 0.946 1
Pr2 0.103 0.395 0.117 1
Pr3 0.212 0.225 0.311 1
Nd1 0.244 0.444 0.455 1
Ho1 0.000 0.411 0.750 1